(1)
DFT (GGA-PBE) results for Mn3Br after structural relaxation.

Properties
formation energy without anion corrections = 720.4 meV/atom
ρ = 5.77 g/cm³
spin magnetization = 11.96 μB/cell
energy relative to the lowest polymorph listed for this composition = 1.544 eV per formula unit
VASP energy = -6.575 eV/atom

Unit cell a=4.7429 b=4.7429 c=3.1318 alpha=90.00 beta=90.00 gamma=90.00
With the nearest neighbours (Å) after each atom.
Space group P4/mmm (No. 123)
Inequivalent atoms, fractional coordinates:
Mn1 0.0000 0.0000 0.0000 x1  10 Mn 2.84-3.13
Mn2 0.0000 0.5000 0.5000 x2  6 Mn 2.84-3.13, 4 Br 2.84
Br1 0.5000 0.5000 0.0000 x1  8 Mn 2.84, 2 Br 3.13

=====

(2)
DFT (GGA-PBE) results for LaRh3 after structural relaxation.

Properties
ρ = 10.39 g/cm³
ΔE_f = -0.14 eV/atom
spin magnetization = 0.01 μB/cell
VASP energy = -6.885 eV/atom

Unit cell a=3.0171 b=3.9306 c=6.0353 alpha=90.00 beta=90.00 gamma=90.00
With the nearest neighbours (Å) after each atom.
Space group Pmmm (No. 47)
Inequivalent atoms, fractional coordinates:
La1 0.0000 0.0000 0.0000 x1  10 Rh 3.01-3.02, 2 La 3.02
Rh1 0.0000 0.0000 0.5000 x1  10 Rh 2.80-3.02, 2 La 3.02
Rh2 0.5000 0.5000 0.2831 x2  5 Rh 2.62-2.80

=====

(3)
DFT (GGA-PBE) results for Sr4Np3ScN8 after structural relaxation.

Properties
formation energy without anion corrections = -1089.6 meV/atom
ρ = 7.99 g/cm³
spin magnetization = 23.91 μB/cell
VASP energy = -8.495 eV/atom

Unit cell a=7.0118 b=7.0118 c=17.8382 alpha=90.00 beta=90.00 gamma=120.00
With the nearest neighbours (Å) after each atom.
Space group R-3m (No. 166, hexagonal axes)
Inequivalent atoms, fractional coordinates:
Sr1 0.0000 0.0000 0.0000 x3  6 N 2.69
Sr2 0.0000 0.5000 0.0000 x9  6 N 2.70-2.73
Np1 0.0000 0.5000 0.5000 x9  6 N 2.31-2.34
Sc1 0.0000 0.0000 0.5000 x3  6 N 2.37
N1 0.0000 0.0000 0.2328 x6  3 Np 2.34
N2 0.0064 0.5032 0.7685 x18  2 Np 2.31, 1 Sc 2.37

=====

(4)
DFT (GGA-PBE) results for Cu2IBr after structural relaxation.

Properties
formation energy without anion corrections = 403.5 meV/atom
ρ = 6.38 g/cm³
spin magnetization = 0.00 μB/cell
energy relative to the lowest polymorph listed for this composition = 2.356 eV per formula unit
VASP energy = -2.450 eV/atom

Unit cell a=7.0306 b=7.0306 c=7.0306 alpha=90.00 beta=90.00 gamma=90.00
With the nearest neighbours (Å) after each atom.
Space group Fm-3m (No. 225)
Inequivalent atoms, fractional coordinates:
Cu1 0.2500 0.2500 0.2500 x8  4 Br 3.04, 4 I 3.04
I1 0.0000 0.0000 0.0000 x4  8 Cu 3.04
Br1 0.0000 0.0000 0.5000 x4  8 Cu 3.04